(1)
# Sm2USiRh6 (PBE-GGA, relaxed)
data_Sm2USiRh6
_cell_length_a 9.360
_cell_length_b 9.360
_cell_length_c 9.360
_cell_angle_alpha 90.00
_cell_angle_beta 90.00
_cell_angle_gamma 90.00
_symmetry_space_group_name_H-M 'F m -3 m'
_symmetry_Int_Tables_number 225
_symmetry_space_group_name_Hall '-F 4 2 3'
loop_
_atom_site_label
_atom_site_fract_x
_atom_site_fract_y
_atom_site_fract_z
_atom_site_occupancy
Sm1 0.250 0.250 0.250 1
U1 0.000 0.000 0.000 1
Si1 0.000 0.000 0.500 1
Rh1 0.000 0.000 0.259 1
# **Crystal system**: cubic
# **Uncorrected formation energy**: -0.358 eV per atom
# **Theoretical density**: 9.593 g/cm3
# **V**: 820.01 Å³/cell

(2)
# SmZnSi2Rh (PBE-GGA, relaxed)
data_SmZnSi2Rh
_cell_length_a 4.041
_cell_length_b 4.041
_cell_length_c 10.467
_cell_angle_alpha 90.00
_cell_angle_beta 90.00
_cell_angle_gamma 90.00
_symmetry_space_group_name_H-M 'I -4 m 2'
_symmetry_Int_Tables_number 119
_symmetry_space_group_name_Hall 'I -4 -2'
loop_
_atom_site_label
_atom_site_fract_x
_atom_site_fract_y
_atom_site_fract_z
_atom_site_occupancy
Sm1 0.000 0.000 0.000 1
Zn1 0.000 0.500 0.750 1
Si1 0.000 0.000 0.386 1
Rh1 0.000 0.500 0.250 1
# **Crystal system**: tetragonal
# **Uncorrected formation energy**: -0.774 eV per atom
# **Theoretical density**: 7.282 g/cm3
# **V**: 170.96 Å³/cell

(3)
# SmZn2SiRh (PBE-GGA, relaxed)
data_SmZn2SiRh
_cell_length_a 3.908
_cell_length_b 4.184
_cell_length_c 10.867
_cell_angle_alpha 90.00
_cell_angle_beta 90.00
_cell_angle_gamma 90.00
_symmetry_space_group_name_H-M 'I m m 2'
_symmetry_Int_Tables_number 44
loop_
_symmetry_equiv_pos_as_xyz
'x,y,z'
'-x,-y,z'
'-x,y,z'
'x,-y,z'
'x+1/2,y+1/2,z+1/2'
'-x+1/2,-y+1/2,z+1/2'
'-x+1/2,y+1/2,z+1/2'
'x+1/2,-y+1/2,z+1/2'
loop_
_atom_site_label
_atom_site_fract_x
_atom_site_fract_y
_atom_site_fract_z
_atom_site_occupancy
Sm1 0.000 0.000 0.000 1
Zn1 0.000 0.000 0.616 1
Zn2 0.000 0.500 0.260 1
Si1 0.000 0.000 0.389 1
Rh1 0.000 0.500 0.763 1
# **Crystal system**: orthorhombic
# **Uncorrected formation energy**: -0.579 eV per atom
# **Theoretical density**: 7.704 g/cm3
# **V**: 177.67 Å³/cell

(4)
# Sm2ZnSi2Rh5 (PBE-GGA, relaxed)
data_Sm2ZnSi2Rh5
_cell_length_a 9.854
_cell_length_b 9.854
_cell_length_c 3.452
_cell_angle_alpha 90.00
_cell_angle_beta 90.00
_cell_angle_gamma 90.00
_symmetry_space_group_name_H-M 'P 4/m b m'
_symmetry_Int_Tables_number 127
_symmetry_space_group_name_Hall '-P 4 2ab'
loop_
_atom_site_label
_atom_site_fract_x
_atom_site_fract_y
_atom_site_fract_z
_atom_site_occupancy
Sm1 0.175 0.325 0.000 1
Zn1 0.000 0.000 0.000 1
Si1 0.125 0.625 0.000 1
Rh1 0.000 0.500 0.500 1
Rh2 0.067 0.787 0.500 1
# **Crystal system**: tetragonal
# **Uncorrected formation energy**: -0.848 eV per atom
# **Theoretical density**: 9.283 g/cm3
# **V**: 335.17 Å³/cell

(5)
# SiSnRh2 (PBE-GGA, relaxed)
data_SiSnRh2
_cell_length_a 6.273
_cell_length_b 6.273
_cell_length_c 6.273
_cell_angle_alpha 90.00
_cell_angle_beta 90.00
_cell_angle_gamma 90.00
_symmetry_space_group_name_H-M 'F m -3 m'
_symmetry_Int_Tables_number 225
_symmetry_space_group_name_Hall '-F 4 2 3'
loop_
_atom_site_label
_atom_site_fract_x
_atom_site_fract_y
_atom_site_fract_z
_atom_site_occupancy
Si1 0.000 0.000 0.000 1
Sn1 0.000 0.000 0.500 1
Rh1 0.250 0.250 0.250 1
# **Crystal system**: cubic
# **Uncorrected formation energy**: -0.319 eV per atom
# **Theoretical density**: 9.487 g/cm3
# **V**: 246.87 Å³/cell

(6)
# SiSnRh2 (PBE-GGA, relaxed)
data_SiSnRh2
_cell_length_a 5.662
_cell_length_b 5.662
_cell_length_c 10.965
_cell_angle_alpha 90.00
_cell_angle_beta 90.00
_cell_angle_gamma 90.00
_symmetry_space_group_name_H-M 'I -4 2 d'
_symmetry_Int_Tables_number 122
_symmetry_space_group_name_Hall 'I -4 2bw'
loop_
_atom_site_label
_atom_site_fract_x
_atom_site_fract_y
_atom_site_fract_z
_atom_site_occupancy
Si1 0.000 0.000 0.000 1
Sn1 0.000 0.000 0.500 1
Rh1 0.200 0.250 0.125 1
# **Crystal system**: tetragonal
# **Uncorrected formation energy**: -0.072 eV per atom
# **Theoretical density**: 6.663 g/cm3
# **V**: 351.49 Å³/cell

(7)
# SiSnRh4 (PBE-GGA, relaxed)
data_SiSnRh4
_cell_length_a 4.1165
_cell_length_b 4.1165
_cell_length_c 20.5223
_cell_angle_alpha 90.00
_cell_angle_beta 90.00
_cell_angle_gamma 120.00
_symmetry_space_group_name_H-M 'R -3 m'
_symmetry_Int_Tables_number 166
_symmetry_space_group_name_Hall '-R 3 2"'
loop_
_atom_site_label
_atom_site_fract_x
_atom_site_fract_y
_atom_site_fract_z
_atom_site_occupancy
Si1 0.0000 0.0000 0.0000 1
Sn1 0.0000 0.0000 0.5000 1
Rh1 0.0000 0.0000 0.1150 1
Rh2 0.0000 0.0000 0.3681 1
# **Crystal system**: trigonal
# **Uncorrected formation energy**: -0.386 eV per atom
# **Theoretical density**: 9.239 g/cm3
# **V**: 301.11 Å³/cell
# **Energy above the most stable polymorph in this dataset**: 7.87 kJ/mol of atoms

(8)
# Si2SnRh2 (PBE-GGA, relaxed)
data_Si2SnRh2
_cell_length_a 7.444
_cell_length_b 7.444
_cell_length_c 2.815
_cell_angle_alpha 90.00
_cell_angle_beta 90.00
_cell_angle_gamma 90.00
_symmetry_space_group_name_H-M 'P 4/m b m'
_symmetry_Int_Tables_number 127
_symmetry_space_group_name_Hall '-P 4 2ab'
loop_
_atom_site_label
_atom_site_fract_x
_atom_site_fract_y
_atom_site_fract_z
_atom_site_occupancy
Si1 0.145 0.355 0.000 1
Sn1 0.000 0.000 0.500 1
Rh1 0.142 0.642 0.500 1
# **Crystal system**: tetragonal
# **Uncorrected formation energy**: -0.365 eV per atom
# **Theoretical density**: 8.106 g/cm3
# **V**: 155.97 Å³/cell

(9)
# SiSnRh2 (PBE-GGA, relaxed)
data_SiSnRh2
_cell_length_a 2.976
_cell_length_b 2.976
_cell_length_c 6.980
_cell_angle_alpha 90.00
_cell_angle_beta 90.00
_cell_angle_gamma 90.00
_symmetry_space_group_name_H-M 'P 4/m m m'
_symmetry_Int_Tables_number 123
_symmetry_space_group_name_Hall '-P 4 2'
loop_
_atom_site_label
_atom_site_fract_x
_atom_site_fract_y
_atom_site_fract_z
_atom_site_occupancy
Si1 0.000 0.000 0.000 1
Sn1 0.000 0.000 0.500 1
Rh1 0.500 0.500 0.202 1
# **Crystal system**: tetragonal
# **Uncorrected formation energy**: -0.494 eV per atom
# **Theoretical density**: 9.472 g/cm3
# **V**: 61.82 Å³/cell

(10)
# SiSnRh3 (PBE-GGA, relaxed)
data_SiSnRh3
_cell_length_a 4.430
_cell_length_b 4.430
_cell_length_c 4.430
_cell_angle_alpha 90.00
_cell_angle_beta 90.00
_cell_angle_gamma 90.00
_symmetry_space_group_name_H-M 'P m -3 m'
_symmetry_Int_Tables_number 221
_symmetry_space_group_name_Hall '-P 4 2 3'
loop_
_atom_site_label
_atom_site_fract_x
_atom_site_fract_y
_atom_site_fract_z
_atom_site_occupancy
Si1 0.000 0.000 0.000 1
Sn1 0.500 0.500 0.500 1
Rh1 0.000 0.000 0.500 1
# **Crystal system**: cubic
# **Uncorrected formation energy**: -0.049 eV per atom
# **Theoretical density**: 8.703 g/cm3
# **V**: 86.92 Å³/cell
# **Energy above the most stable polymorph in this dataset**: 0.00 kJ/mol of atoms

(11)
# SiSnRh3 (PBE-GGA, relaxed)
data_SiSnRh3
_cell_length_a 4.817
_cell_length_b 4.817
_cell_length_c 4.817
_cell_angle_alpha 90.00
_cell_angle_beta 90.00
_cell_angle_gamma 90.00
_symmetry_space_group_name_H-M 'P m -3 m'
_symmetry_Int_Tables_number 221
_symmetry_space_group_name_Hall '-P 4 2 3'
loop_
_atom_site_label
_atom_site_fract_x
_atom_site_fract_y
_atom_site_fract_z
_atom_site_occupancy
Si1 0.000 0.000 0.000 1
Sn1 0.500 0.500 0.500 1
Rh1 0.000 0.500 0.500 1
# **Crystal system**: cubic
# **Uncorrected formation energy**: 1.272 eV per atom
# **Theoretical density**: 6.767 g/cm3
# **V**: 111.77 Å³/cell
# **Energy above the most stable polymorph in this dataset**: 127.44 kJ/mol of atoms

(12)
# SiSnRh4 (PBE-GGA, relaxed)
data_SiSnRh4
_cell_length_a 7.132
_cell_length_b 2.925
_cell_length_c 17.172
_cell_angle_alpha 90.00
_cell_angle_beta 90.00
_cell_angle_gamma 90.00
_symmetry_space_group_name_H-M 'P n m a'
_symmetry_Int_Tables_number 62
loop_
_symmetry_equiv_pos_as_xyz
'x,y,z'
'-x,-y,-z'
'-x+1/2,-y,z+1/2'
'x+1/2,y,-z+1/2'
'x+1/2,-y+1/2,-z+1/2'
'-x+1/2,y+1/2,z+1/2'
'-x,y+1/2,-z'
'x,-y+1/2,z'
loop_
_atom_site_label
_atom_site_fract_x
_atom_site_fract_y
_atom_site_fract_z
_atom_site_occupancy
Si1 0.247 0.250 0.045 1
Sn1 0.201 0.750 0.314 1
Rh1 0.015 0.250 0.207 1
Rh2 0.027 0.250 0.931 1
Rh3 0.108 0.250 0.445 1
Rh4 0.173 0.250 0.653 1
# **Crystal system**: orthorhombic
# **Uncorrected formation energy**: -0.467 eV per atom
# **Theoretical density**: 10.352 g/cm3
# **V**: 358.30 Å³/cell
# **Energy above the most stable polymorph in this dataset**: 0.00 kJ/mol of atoms

(13)
# Si2SnRh2 (PBE-GGA, relaxed)
data_Si2SnRh2
_cell_length_a 7.505
_cell_length_b 7.505
_cell_length_c 2.824
_cell_angle_alpha 90.00
_cell_angle_beta 90.00
_cell_angle_gamma 90.00
_symmetry_space_group_name_H-M 'P 4/m b m'
_symmetry_Int_Tables_number 127
_symmetry_space_group_name_Hall '-P 4 2ab'
loop_
_atom_site_label
_atom_site_fract_x
_atom_site_fract_y
_atom_site_fract_z
_atom_site_occupancy
Si1 0.138 0.362 0.000 1
Sn1 0.000 0.000 0.000 1
Rh1 0.142 0.642 0.500 1
# **Crystal system**: tetragonal
# **Uncorrected formation energy**: -0.276 eV per atom
# **Theoretical density**: 7.948 g/cm3
# **V**: 159.08 Å³/cell

(14)
# Si3SnRh3 (PBE-GGA, relaxed)
data_Si3SnRh3
_cell_length_a 6.530
_cell_length_b 6.530
_cell_length_c 6.530
_cell_angle_alpha 90.00
_cell_angle_beta 90.00
_cell_angle_gamma 90.00
_symmetry_space_group_name_H-M 'P m -3 n'
_symmetry_Int_Tables_number 223
_symmetry_space_group_name_Hall '-P 4n 2 3'
loop_
_atom_site_label
_atom_site_fract_x
_atom_site_fract_y
_atom_site_fract_z
_atom_site_occupancy
Si1 0.000 0.250 0.500 1
Sn1 0.000 0.000 0.000 1
Rh1 0.000 0.500 0.250 1
# **Crystal system**: cubic
# **Uncorrected formation energy**: -0.155 eV per atom
# **Theoretical density**: 6.104 g/cm3
# **V**: 278.41 Å³/cell

(15)
# SiSnRh2 (PBE-GGA, relaxed)
data_SiSnRh2
_cell_length_a 3.8710
_cell_length_b 3.8710
_cell_length_c 15.4559
_cell_angle_alpha 90.00
_cell_angle_beta 90.00
_cell_angle_gamma 120.00
_symmetry_space_group_name_H-M 'R 3 m'
_symmetry_Int_Tables_number 160
_symmetry_space_group_name_Hall 'R 3 -2"'
loop_
_atom_site_label
_atom_site_fract_x
_atom_site_fract_y
_atom_site_fract_z
_atom_site_occupancy
Si1 0.0000 0.0000 0.0000 1
Sn1 0.0000 0.0000 0.1767 1
Rh1 0.0000 0.0000 0.4017 1
Rh2 0.0000 0.0000 0.6120 1
# **Crystal system**: trigonal
# **Uncorrected formation energy**: -0.583 eV per atom
# **Theoretical density**: 8.758 g/cm3
# **V**: 200.57 Å³/cell

(16)
# Sr2Si2SnRh5 (PBE-GGA, relaxed)
data_Sr2Si2SnRh5
_cell_length_a 10.239
_cell_length_b 10.239
_cell_length_c 3.415
_cell_angle_alpha 90.00
_cell_angle_beta 90.00
_cell_angle_gamma 90.00
_symmetry_space_group_name_H-M 'P 4/m b m'
_symmetry_Int_Tables_number 127
_symmetry_space_group_name_Hall '-P 4 2ab'
loop_
_atom_site_label
_atom_site_fract_x
_atom_site_fract_y
_atom_site_fract_z
_atom_site_occupancy
Sr1 0.176 0.324 0.000 1
Si1 0.122 0.622 0.000 1
Sn1 0.000 0.000 0.000 1
Rh1 0.000 0.500 0.500 1
Rh2 0.068 0.780 0.500 1
# **Crystal system**: tetragonal
# **Uncorrected formation energy**: -0.690 eV per atom
# **Theoretical density**: 8.021 g/cm3
# **V**: 358.01 Å³/cell

(17)
# Sr2SiSnRh6 (PBE-GGA, relaxed)
data_Sr2SiSnRh6
_cell_length_a 9.480
_cell_length_b 9.480
_cell_length_c 9.480
_cell_angle_alpha 90.00
_cell_angle_beta 90.00
_cell_angle_gamma 90.00
_symmetry_space_group_name_H-M 'F m -3 m'
_symmetry_Int_Tables_number 225
_symmetry_space_group_name_Hall '-F 4 2 3'
loop_
_atom_site_label
_atom_site_fract_x
_atom_site_fract_y
_atom_site_fract_z
_atom_site_occupancy
Sr1 0.250 0.250 0.250 1
Si1 0.000 0.000 0.000 1
Sn1 0.000 0.000 0.500 1
Rh1 0.000 0.000 0.234 1
# **Crystal system**: cubic
# **Uncorrected formation energy**: -0.109 eV per atom
# **Theoretical density**: 7.323 g/cm3
# **V**: 852.08 Å³/cell

(18)
# Th4Si3SnRh12 (PBE-GGA, relaxed)
data_Th4Si3SnRh12
_cell_length_a 9.189
_cell_length_b 9.189
_cell_length_c 9.189
_cell_angle_alpha 90.00
_cell_angle_beta 90.00
_cell_angle_gamma 90.00
_symmetry_space_group_name_H-M 'I m -3 m'
_symmetry_Int_Tables_number 229
_symmetry_space_group_name_Hall '-I 4 2 3'
loop_
_atom_site_label
_atom_site_fract_x
_atom_site_fract_y
_atom_site_fract_z
_atom_site_occupancy
Th1 0.250 0.250 0.250 1
Si1 0.000 0.000 0.500 1
Sn1 0.000 0.000 0.000 1
Rh1 0.000 0.000 0.266 1
Rh2 0.000 0.250 0.500 1
# **Crystal system**: cubic
# **Uncorrected formation energy**: -0.498 eV per atom
# **Theoretical density**: 10.127 g/cm3
# **V**: 775.93 Å³/cell

(19)
# ThSi2SnRh5 (PBE-GGA, relaxed)
data_ThSi2SnRh5
_cell_length_a 4.096
_cell_length_b 4.096
_cell_length_c 10.192
_cell_angle_alpha 90.00
_cell_angle_beta 90.00
_cell_angle_gamma 90.00
_symmetry_space_group_name_H-M 'P 4/m m m'
_symmetry_Int_Tables_number 123
_symmetry_space_group_name_Hall '-P 4 2'
loop_
_atom_site_label
_atom_site_fract_x
_atom_site_fract_y
_atom_site_fract_z
_atom_site_occupancy
Th1 0.000 0.000 0.000 1
Si1 0.500 0.500 0.227 1
Sn1 0.000 0.000 0.500 1
Rh1 0.000 0.500 0.332 1
Rh2 0.500 0.500 0.000 1
# **Crystal system**: tetragonal
# **Uncorrected formation energy**: -0.633 eV per atom
# **Theoretical density**: 8.948 g/cm3
# **V**: 170.99 Å³/cell

(20)
# Th2Si3SnRh4 (PBE-GGA, relaxed)
data_Th2Si3SnRh4
_cell_length_a 4.196
_cell_length_b 4.196
_cell_length_c 10.432
_cell_angle_alpha 90.00
_cell_angle_beta 90.00
_cell_angle_gamma 90.00
_symmetry_space_group_name_H-M 'P -4 m 2'
_symmetry_Int_Tables_number 115
loop_
_symmetry_equiv_pos_as_xyz
'x,y,z'
'y,-x,-z'
'-x,-y,z'
'-y,x,-z'
'-x,y,z'
'-y,-x,-z'
'x,-y,z'
'y,x,-z'
loop_
_atom_site_label
_atom_site_fract_x
_atom_site_fract_y
_atom_site_fract_z
_atom_site_occupancy
Th1 0.000 0.500 0.241 1
Si1 0.000 0.500 0.876 1
Si2 0.500 0.500 0.500 1
Sn1 0.000 0.000 0.500 1
Rh1 0.000 0.000 0.000 1
Rh2 0.000 0.500 0.648 1
Rh3 0.500 0.500 0.000 1
# **Crystal system**: tetragonal
# **Uncorrected formation energy**: -0.964 eV per atom
# **Theoretical density**: 9.754 g/cm3
# **V**: 183.64 Å³/cell